Record 1
Co3OsSe: optimized geometry, PBE.

Computed properties:
DOS(E_F)   8.7 states/eV/f.u.
Energy above the lowest structure with this stoichiometry   0.000 eV per atom
E   -5.99 eV/atom

a = 4.2572 Å, b = 4.2572 Å, c = 4.2572 Å
α = 90.00°, β = 90.00°, γ = 90.00°
Last column: magnetic moment on the atom in μB.
Element x y z (fractional)
Os1 0.5000 0.5000 0.5000  2.15
Co1 0.0000 0.0000 0.5000  1.13
Co2 0.0000 0.5000 0.0000  1.33
Co3 0.5000 0.0000 0.0000  1.67
Se1 0.0000 0.0000 0.0000  0.04

---

Record 2
PmPrNdTm3: optimized geometry, PBE.

Computed properties:
DOS(E_F)   11.5 states/eV/f.u.
Formation energy   112 meV/atom
E   -4.51 eV/atom

a = 5.8890 Å, b = 6.3851 Å, c = 11.7933 Å
α = 90.00°, β = 90.00°, γ = 117.46°
Element x y z (fractional)
Tm1 0.6709 0.3417 0.4932
Tm2 0.6709 0.3417 0.0068
Tm3 0.1684 0.3367 0.7500
Tm4 0.3291 0.6583 0.5068
Tm5 0.3291 0.6583 0.9932
Tm6 0.8316 0.6633 0.2500
Pm1 0.5082 0.0164 0.7500
Pm2 0.4918 0.9836 0.2500
Pr1 0.0000 0.0000 0.5000
Pr2 0.0000 0.0000 0.0000
Nd1 0.1777 0.3554 0.2500
Nd2 0.8223 0.6446 0.7500

---

Record 3
Rb3ClO4: optimized geometry, PBE.

Computed properties:
DOS(E_F)   6.9 states/eV/f.u.
E   -4.17 eV/atom

a = 4.3494 Å, b = 4.4748 Å, c = 12.2788 Å
α = 79.50°, β = 60.02°, γ = 90.01°
Last column: magnetic moment on the atom in μB.
Element x y z (fractional)
O1 0.8987 0.6386 0.7246  0.39
O2 0.8998 0.2980 0.4053  0.43
O3 0.1013 0.3614 0.2754  0.39
O4 0.1002 0.7020 0.5947  0.43
Rb1 0.5000 0.5000 0.0000  0.00
Rb2 0.5121 0.8348 0.3297  0.00
Rb3 0.4879 0.1652 0.6703  0.00
Cl1 0.0000 0.0000 0.0000  0.00

---

Record 4
La2Pr8Mg: optimized geometry, PBE.

Computed properties:
DOS(E_F)   16.8 states/eV/f.u.
Energy above the lowest structure with this stoichiometry   0.000 eV per atom
Formation energy   9 meV/atom
E   -4.51 eV/atom

a = 5.2370 Å, b = 8.2116 Å, c = 9.7178 Å
α = 104.77°, β = 105.63°, γ = 90.00°
Element x y z (fractional)
Pr1 0.4108 0.5534 0.8215
Pr2 0.1365 0.1786 0.2729
Pr3 0.8635 0.8214 0.7271
Pr4 0.6791 0.9078 0.3581
Pr5 0.3209 0.0922 0.6419
Pr6 0.5892 0.4466 0.1785
Pr7 0.0445 0.7247 0.0891
Pr8 0.9555 0.2753 0.9109
La1 0.7741 0.3645 0.5481
La2 0.2259 0.6355 0.4519
Mg1 0.5000 0.0000 0.0000

---

Record 5
Pr2Dy3ScTe6: optimized geometry, PBE.

Computed properties:
DOS(E_F)   7.3 states/eV/f.u.
E   -5.34 eV/atom

a = 4.3519 Å, b = 8.8259 Å, c = 9.8170 Å
α = 102.51°, β = 102.81°, γ = 90.00°
Element x y z (fractional)
Pr1 0.1699 0.3352 0.3399
Pr2 0.8301 0.6648 0.6601
Te1 0.0057 0.7617 0.0115
Te2 0.3387 0.4086 0.6774
Te3 0.9943 0.2383 0.9885
Te4 0.3422 0.9311 0.6843
Te5 0.6578 0.0689 0.3157
Te6 0.6613 0.5914 0.3226
Dy1 0.5000 0.5000 0.0000
Dy2 0.8229 0.1616 0.6457
Dy3 0.1771 0.8384 0.3543
Sc1 0.5000 0.0000 0.0000

---

Record 6
Mn3SiH: optimized geometry, PBE.

Computed properties:
DOS(E_F)   4.9 states/eV/f.u.
Energy above the lowest structure with this stoichiometry   0.126 eV per atom
E   -7.37 eV/atom

a = 5.0610 Å, b = 4.4435 Å, c = 4.1854 Å
α = 89.98°, β = 89.99°, γ = 90.00°
Last column: magnetic moment on the atom in μB.
Element x y z (fractional)
Mn1 0.2902 0.1063 0.1019  1.24
Mn2 0.2921 0.7695 0.6019  1.25
Mn3 0.7921 0.1062 0.1019  1.25
Mn4 0.5410 0.5875 0.1105  0.95
Mn5 0.0410 0.2881 0.6101  0.95
Mn6 0.7902 0.7693 0.6019  1.24
H1 0.5411 0.9020 0.8889  -0.01
H2 0.0411 0.9734 0.3886  -0.01
Si1 0.5410 0.2814 0.5956  -0.07
Si2 0.0410 0.5942 0.0953  -0.07